A plane-wave DFT calculation with PBE-GGA was carried out for a relaxed Pr2Si5Ni3 crystal. Values from VASP.

The structure in Quantum ESPRESSO input format:
```
&SYSTEM
  ibrav = 0, nat = 20, ntyp = 3
/
ATOMIC_SPECIES
Pr 140.91 Pr.upf
Si 28.09 Si.upf
Ni 58.69 Ni.upf
CELL_PARAMETERS angstrom
5.783 0.000 0.000
2.891 7.506 0.040
2.891 1.198 7.410
ATOMIC_POSITIONS angstrom
Pr 2.891 4.727 0.994
Pr 5.783 1.712 4.517
Pr 8.674 3.977 6.456
Pr 5.783 6.992 2.934
Si 5.783 3.071 7.145
Si 8.674 7.533 1.932
Si 5.783 5.633 0.305
Si 2.891 1.170 5.518
Si 7.229 6.637 5.681
Si 4.337 2.067 1.769
Si 7.229 4.352 3.725
Si 4.337 4.352 3.725
Si 1.446 2.067 1.769
Si 10.120 6.637 5.681
Ni 5.783 4.806 5.529
Ni 8.674 6.204 3.896
Ni 5.783 3.898 1.921
Ni 2.891 2.500 3.555
Ni 1.446 0.000 0.000
Ni 4.337 0.000 0.000
```

Results
Total moment = 0.00 μB per formula unit
Total DFT energy (no corrections) = -6.159 eV/atom
Raw formation energy = -7.58 eV per formula unit
SG = Ibam, No. 72